VASP calculation (PBE-GGA) on crystalline VRu2 at its relaxed geometry.

```
data_VRu2
_chemical_formula_sum 'V4 Ru8'
_cell_length_a 4.154
_cell_length_b 4.217
_cell_length_c 9.615
_cell_angle_alpha 90.00
_cell_angle_beta 90.00
_cell_angle_gamma 90.00
_space_group_name_H-M_alt 'C m c m'
_space_group_IT_number 63
_space_group_name_Hall '-C 2c 2'
loop_
_atom_site_label
_atom_site_fract_x
_atom_site_fract_y
_atom_site_fract_z
V1 0.000 0.232 0.250
Ru1 0.000 0.227 0.598
```

Calculated values
- DOS at the Fermi energy: 10.36 states/eV per cell
- Size of the total moment: 0.00 μB/f.u.
- Crystal system: orthorhombic
- Raw total energy: -111.27 eV/cell
- Formation energy from the elements: -0.05 eV per atom